Computed, not measured: an optimized crystal structure of Rb3Ho2HfS6 at the GGA-PBE level of DFT.

Summary:
- symmetry = C2/m
- formation energy without anion corrections (meV/atom) = -1689
- M_tot (μB/f.u.) = 0.00
- N(E_F) (states/eV per atom) = 0.319

Geometry as POSCAR:
```
Rb3Ho2HfS6
1.0
-3.241 -5.318 -2.838
5.532 2.652 -3.034
3.722 -3.952 5.909
S Ho Rb Hf
6 2 3 1
Direct
0.937 0.619 0.810
0.619 0.937 0.810
0.253 0.253 0.809
0.381 0.063 0.190
0.747 0.747 0.191
0.063 0.381 0.190
0.666 0.334 0.000
0.334 0.666 0.000
0.500 0.500 0.500
0.170 0.830 0.500
0.830 0.170 0.500
0.000 0.000 0.000
```